Entry 1:
An optimized crystal structure of CaReAs, computed with PBE.

Cell and atoms, written as POSCAR:
```
CaReAs
1.0
3.331 0.000 0.000
-1.665 2.884 0.000
0.000 0.000 6.367
Re As Ca
1 1 1
direct
0.333 0.667 0.712
0.000 0.000 0.959
0.667 0.333 0.329
```

Calculated values
* calculated volume: 61 Å³/f.u.
* energy above the most stable polymorph in this dataset: 0.285 eV/atom
* N(E_F): 2.9 states/eV per cell
* ΔE_f: 0.180 eV/atom

---

Entry 2:
An optimized crystal structure of Tb2ZnF, computed with PBE.

Cell and atoms, written as POSCAR:
```
Tb2ZnF
1.0
-3.452 -1.293 0.965
-0.459 -3.650 0.989
-0.118 -0.077 6.999
Zn Tb F
1 2 1
direct
0.500 0.500 0.500
0.737 0.737 0.788
0.263 0.263 0.212
0.000 0.000 0.000
```

Calculated values
* formation energy (no corrections): -1.23 eV/atom
* calculated volume: 84 Å³/f.u.
* N(E_F): 2.3 states/eV per cell

---

Entry 3:
An optimized crystal structure of Ba2OF, computed with PBE.

Cell and atoms, written as POSCAR:
```
Ba2OF
1.0
3.932 0.000 0.000
1.966 3.405 0.000
1.966 1.135 6.942
Ba O F
2 1 1
direct
0.074 0.074 0.779
0.259 0.259 0.224
0.673 0.673 0.982
0.495 0.495 0.515
```

Calculated values
* formation energy (no corrections): -2.49 eV/atom
* calculated volume: 93 Å³/f.u.
* energy above the most stable polymorph in this dataset: 0.051 eV/atom
* N(E_F): 1.1 states/eV per cell

---

Entry 4:
An optimized crystal structure of AsOsRh2, computed with PBE.

Cell and atoms, written as POSCAR:
```
AsOsRh2
1.0
2.753 -0.001 0.000
-1.374 2.386 0.000
0.000 0.000 9.121
Rh As Os
2 1 1
direct
0.000 0.000 0.004
0.000 0.000 0.496
0.500 0.500 0.250
0.500 0.500 0.750
```

Calculated values
* calculated volume: 60 Å³/f.u.
* N(E_F): 4.5 states/eV per cell
* ΔE_f: 0.314 eV/atom

---

Entry 5:
An optimized crystal structure of Mn5Hg4, computed with PBE.

Cell and atoms, written as POSCAR:
```
Mn5Hg4
1.0
-4.393 4.393 2.085
4.393 -4.393 2.085
4.393 4.393 -2.085
Mn Hg
5 4
direct
0.000 0.000 0.000
0.340 0.660 0.000
0.660 0.660 0.320
0.340 0.340 0.680
0.660 0.340 0.000
0.316 0.000 0.316
0.684 0.000 0.684
0.000 0.684 0.684
0.000 0.316 0.316
```

Calculated values
* calculated volume: 161 Å³/f.u.
* energy above the most stable polymorph in this dataset: 0.000 eV/atom
* N(E_F): 7.5 states/eV per cell
* ΔE_f: 0.382 eV/atom

---

Entry 6:
An optimized crystal structure of V4Pd5Rh4, computed with PBE.

Cell and atoms, written as POSCAR:
```
V4Pd5Rh4
1.0
-0.975 1.556 -3.446
1.937 -4.860 -4.955
-6.751 -2.169 -1.281
V Pd Rh
4 5 4
direct
0.756 0.382 0.105
0.244 0.618 0.895
0.861 0.895 0.382
0.139 0.105 0.618
0.691 0.860 0.758
0.309 0.140 0.242
0.000 0.000 0.000
0.551 0.758 0.140
0.449 0.242 0.860
0.904 0.471 0.720
0.624 0.280 0.471
0.096 0.529 0.280
0.376 0.720 0.529
```

Calculated values
* calculated volume: 188 Å³/f.u.
* N(E_F): 12.0 states/eV per cell
* ΔE_f: -0.246 eV/atom

---

Entry 7:
An optimized crystal structure of RbH3Br, computed with PBE.

Cell and atoms, written as POSCAR:
```
RbH3Br
1.0
4.450 0.000 -0.155
0.000 6.866 0.000
2.405 0.000 6.078
Rb H Br
2 6 2
direct
0.863 0.750 0.259
0.137 0.250 0.741
0.477 0.037 0.047
0.523 0.963 0.953
0.477 0.463 0.047
0.523 0.537 0.953
0.645 0.750 0.700
0.355 0.250 0.300
0.150 0.750 0.691
0.850 0.250 0.309
```

Calculated values
* calculated volume: 94 Å³/f.u.
* energy above the most stable polymorph in this dataset: 0.000 eV/atom
* N(E_F): 1.2 states/eV per cell

---

Entry 8:
An optimized crystal structure of ZnCuPb, computed with PBE.

Cell and atoms, written as POSCAR:
```
ZnCuPb
1.0
-0.984 3.155 -1.435
-0.900 -3.082 -1.635
-4.763 -0.158 2.919
Cu Pb Zn
1 1 1
direct
0.000 0.000 0.965
0.333 0.667 0.313
0.667 0.333 0.721
```

Calculated values
* calculated volume: 63 Å³/f.u.
* energy above the most stable polymorph in this dataset: 0.188 eV/atom
* N(E_F): 1.2 states/eV per cell
* ΔE_f: 0.257 eV/atom

---

Entry 9:
An optimized crystal structure of AcMg2TcN4, computed with PBE.

Cell and atoms, written as POSCAR:
```
AcMg2TcN4
1.0
3.402 0.000 0.000
-1.701 6.093 0.000
0.000 0.000 10.924
Ac Mg Tc N
2 4 2 8
direct
0.062 0.124 0.750
0.938 0.876 0.250
0.389 0.778 0.535
0.611 0.222 0.035
0.611 0.222 0.465
0.389 0.778 0.965
0.801 0.603 0.750
0.199 0.397 0.250
0.280 0.560 0.114
0.720 0.440 0.614
0.720 0.440 0.886
0.280 0.560 0.386
0.000 0.000 0.500
0.000 0.000 0.000
0.399 0.798 0.750
0.601 0.202 0.250
```

Calculated values
* formation energy (no corrections): -0.52 eV/atom
* calculated volume: 113 Å³/f.u.
* N(E_F): 1.5 states/eV per cell

---

Entry 10:
An optimized crystal structure of YNi2Se, computed with PBE.

Cell and atoms, written as POSCAR:
```
YNi2Se
1.0
-0.935 2.224 -3.197
-3.536 -1.832 -0.239
-1.659 2.879 2.488
Ni Se Y
2 1 1
direct
0.000 0.000 0.000
0.500 0.500 0.000
0.500 0.000 0.500
0.000 0.500 0.500
```

Calculated values
* formation energy (no corrections): -0.37 eV/atom
* calculated volume: 66 Å³/f.u.
* N(E_F): 3.1 states/eV per cell

---

Entry 11:
An optimized crystal structure of Li2TlCuH, computed with PBE.

Cell and atoms, written as POSCAR:
```
Li2TlCuH
1.0
-0.022 4.069 1.530
1.271 -1.458 3.894
3.396 0.381 -0.966
H Tl Cu Li
1 1 1 2
direct
0.000 0.000 0.000
0.500 0.500 0.500
0.000 0.000 0.500
0.000 0.500 0.000
0.500 0.000 0.000
```

Calculated values
* DFT total energy: -14.2 eV for the cell shown
* calculated volume: 67 Å³/f.u.
* N(E_F): 1.1 states/eV per cell

---

Entry 12:
An optimized crystal structure of ZrMnBe2, computed with PBE.

Cell and atoms, written as POSCAR:
```
ZrMnBe2
1.0
-3.904 0.580 0.827
-3.258 -0.337 -2.351
-1.949 -3.938 0.740
Be Mn Zr
2 1 1
direct
0.025 0.025 0.878
0.475 0.475 0.622
0.750 0.750 0.750
0.250 0.250 0.250
```

Calculated values
* calculated volume: 51 Å³/f.u.
* energy above the most stable polymorph in this dataset: 0.040 eV/atom
* N(E_F): 3.5 states/eV per cell
* ΔE_f: -0.006 eV/atom

---

Entry 13:
An optimized crystal structure of LiThCuS3, computed with PBE.

Cell and atoms, written as POSCAR:
```
LiThCuS3
1.0
-2.930 2.606 -0.566
-4.727 -5.685 -1.706
-1.352 0.395 8.815
Li Th Cu S
2 2 2 6
direct
0.250 0.211 0.294
0.750 0.789 0.706
0.250 0.694 0.171
0.750 0.306 0.829
0.250 0.081 0.583
0.750 0.919 0.417
0.750 0.942 0.161
0.250 0.058 0.839
0.250 0.766 0.482
0.750 0.234 0.518
0.750 0.426 0.155
0.250 0.574 0.845
```

Calculated values
* formation energy (no corrections): -1.31 eV/atom
* calculated volume: 132 Å³/f.u.

---

Entry 14:
An optimized crystal structure of Ho10Tm4Th, computed with PBE.

Cell and atoms, written as POSCAR:
```
Ho10Tm4Th
1.0
9.380 0.000 4.235
4.690 6.853 2.118
1.870 0.000 8.364
Ho Tm Th
10 4 1
direct
0.250 0.500 0.500
0.549 0.325 0.899
0.126 0.101 0.325
0.552 0.899 0.675
0.774 0.675 0.101
0.451 0.675 0.101
0.750 0.500 0.500
0.226 0.325 0.899
0.448 0.101 0.325
0.874 0.899 0.675
0.335 0.737 0.593
0.928 0.407 0.737
0.072 0.593 0.263
0.665 0.263 0.407
0.000 0.000 0.000
```

Calculated values
* calculated volume: 483 Å³/f.u.
* N(E_F): 24.1 states/eV per cell
* ΔE_f: 0.393 eV/atom

---

Entry 15:
An optimized crystal structure of Dy4TmIn2, computed with PBE.

Cell and atoms, written as POSCAR:
```
Dy4TmIn2
1.0
-7.598 -5.742 6.821
1.073 -5.521 -3.453
3.446 1.463 5.071
Tm In Dy
2 4 8
direct
0.000 0.000 0.000
0.500 0.500 0.000
0.885 0.597 0.493
0.115 0.403 0.507
0.385 0.903 0.507
0.615 0.097 0.493
0.788 0.666 0.067
0.620 0.655 0.578
0.880 0.155 0.578
0.712 0.166 0.067
0.288 0.834 0.933
0.120 0.845 0.422
0.380 0.345 0.422
0.212 0.334 0.933
```

Calculated values
* calculated volume: 207 Å³/f.u.
* energy above the most stable polymorph in this dataset: 0.000 eV/atom
* N(E_F): 15.3 states/eV per cell
* ΔE_f: -0.132 eV/atom

---

Entry 16:
An optimized crystal structure of ZrMn2SiH, computed with PBE.

Cell and atoms, written as POSCAR:
```
ZrMn2SiH
1.0
-2.701 2.680 -0.604
-2.429 -1.934 2.281
1.358 2.095 3.222
H Si Mn Zr
1 1 2 1
direct
0.000 0.000 0.000
0.500 0.500 0.500
0.000 0.500 0.000
0.500 0.000 0.000
0.000 0.000 0.500
```

Calculated values
* DFT total energy: -36.7 eV for the cell shown
* calculated volume: 61 Å³/f.u.
* N(E_F): 4.2 states/eV per cell

---

Entry 17:
An optimized crystal structure of TbSm5Er4, computed with PBE.

Cell and atoms, written as POSCAR:
```
TbSm5Er4
1.0
-1.019 -2.825 -1.874
-0.540 -6.155 9.571
-6.782 8.221 -5.363
Tb Sm Er
1 5 4
direct
0.500 0.000 0.000
0.210 0.305 0.421
0.189 0.801 0.378
0.811 0.199 0.622
0.500 0.500 0.000
0.790 0.695 0.579
0.605 0.914 0.209
0.082 0.372 0.165
0.395 0.086 0.791
0.918 0.628 0.835
```

Calculated values
* calculated volume: 325 Å³/f.u.
* energy above the most stable polymorph in this dataset: 0.000 eV/atom
* N(E_F): 14.2 states/eV per cell
* ΔE_f: 0.039 eV/atom

---

Entry 18:
An optimized crystal structure of Pa2CoNi2, computed with PBE.

Cell and atoms, written as POSCAR:
```
Pa2CoNi2
1.0
-0.734 3.451 -0.947
-4.342 -2.591 0.984
1.796 1.134 9.783
Pa Co Ni
4 2 4
direct
0.928 0.738 0.117
0.337 0.337 0.340
0.072 0.262 0.883
0.663 0.663 0.660
0.410 0.123 0.698
0.590 0.877 0.302
0.352 0.808 0.896
0.872 0.213 0.531
0.648 0.192 0.104
0.128 0.787 0.469
```

Calculated values
* calculated volume: 86 Å³/f.u.
* energy above the most stable polymorph in this dataset: 0.000 eV/atom
* N(E_F): 11.1 states/eV per cell
* ΔE_f: -0.337 eV/atom

---

Entry 19:
An optimized crystal structure of Sr2DyCd6, computed with PBE.

Cell and atoms, written as POSCAR:
```
Sr2DyCd6
1.0
-1.603 3.265 -0.168
-5.219 -2.893 -6.531
-7.798 -3.726 1.890
Sr Dy Cd
2 1 6
direct
0.000 0.333 0.333
0.000 0.667 0.667
0.000 0.000 0.000
0.499 0.672 0.000
0.501 0.000 0.328
0.501 0.328 0.000
0.500 0.672 0.328
0.499 0.000 0.672
0.500 0.328 0.672
```

Calculated values
* calculated volume: 247 Å³/f.u.
* N(E_F): 6.9 states/eV per cell
* ΔE_f: -0.297 eV/atom

---

Entry 20:
An optimized crystal structure of Tb7PrEr4, computed with PBE.

Cell and atoms, written as POSCAR:
```
Tb7PrEr4
1.0
-5.068 2.879 0.835
-4.334 1.457 -10.560
-5.448 -3.809 0.828
Tb Pr Er
7 1 4
direct
0.790 0.921 0.499
0.210 0.079 0.501
0.059 0.670 0.212
0.941 0.330 0.788
0.367 0.504 0.762
0.500 0.000 0.000
0.633 0.496 0.238
0.000 0.000 0.000
0.632 0.225 0.510
0.368 0.775 0.490
0.749 0.684 0.818
0.251 0.316 0.182
```

Calculated values
* calculated volume: 394 Å³/f.u.
* energy above the most stable polymorph in this dataset: 0.273 eV/atom
* N(E_F): 19.5 states/eV per cell
* ΔE_f: 0.272 eV/atom

---

| no. | theoretical density (g/cm3) |
| --- | --- |
| 1 | 8.2 |
| 2 | 8.0 |
| 3 | 5.5 |
| 4 | 13.1 |
| 5 | 11.1 |
| 6 | 10.1 |
| 7 | 3.0 |
| 8 | 8.9 |
| 9 | 6.3 |
| 10 | 7.1 |
| 11 | 7.0 |
| 12 | 5.3 |
| 13 | 5.0 |
| 14 | 8.8 |
| 15 | 8.4 |
| 16 | 6.3 |
| 17 | 8.1 |
| 18 | 12.3 |
| 19 | 6.8 |
| 20 | 8.1 |